1.
First-principles (PBE) data for a relaxed structure of Tm12Tl6Rh, as listed in Alexandria.

Geometry as CIF:
```
data_Tm12Tl6Rh
_cell_length_a 12.0250
_cell_length_b 12.0250
_cell_length_c 13.2622
_cell_angle_alpha 90.00
_cell_angle_beta 90.00
_cell_angle_gamma 120.00
_symmetry_space_group_name_H-M 'R -3'
_symmetry_Int_Tables_number 148
_symmetry_space_group_name_Hall '-R 3'
loop_
_atom_site_label
_atom_site_type_symbol
_atom_site_fract_x
_atom_site_fract_y
_atom_site_fract_z
_atom_site_occupancy
Tm1 Tm 0.0312 0.1883 0.3764 1
Tm2 Tm 0.0325 0.8474 0.8920 1
Tl1 Tl 0.0084 0.6147 0.7604 1
Rh1 Rh 0.0000 0.0000 0.5000 1
```

The formation energy comes out at -3.35 eV per formula unit. As for the electronic total energy: -235.67 eV/cell.

2.
First-principles (PBE) data for a relaxed structure of ZrTaMnNi, as listed in Alexandria.

Geometry as CIF:
```
data_ZrTaMnNi
_cell_length_a 6.266
_cell_length_b 6.266
_cell_length_c 6.266
_cell_angle_alpha 90.00
_cell_angle_beta 90.00
_cell_angle_gamma 90.00
_symmetry_space_group_name_H-M 'F -4 3 m'
_symmetry_Int_Tables_number 216
_symmetry_space_group_name_Hall 'F -4 2 3'
loop_
_atom_site_label
_atom_site_type_symbol
_atom_site_fract_x
_atom_site_fract_y
_atom_site_fract_z
_atom_site_occupancy
Zr1 Zr 0.000 0.000 0.000 1
Ta1 Ta 0.000 0.000 0.500 1
Mn1 Mn 0.250 0.250 0.250 1
Ni1 Ni 0.250 0.250 0.750 1
```

The formation energy comes out at -0.57 eV per formula unit. As for the electronic total energy: -143.67 eV/cell.

3.
First-principles (PBE) data for a relaxed structure of Nd2AlSiPt6, as listed in Alexandria.

Geometry as CIF:
```
data_Nd2AlSiPt6
_cell_length_a 5.594
_cell_length_b 8.699
_cell_length_c 8.178
_cell_angle_alpha 90.00
_cell_angle_beta 90.00
_cell_angle_gamma 90.00
_symmetry_space_group_name_H-M 'P m m n'
_symmetry_Int_Tables_number 59
loop_
_symmetry_equiv_pos_as_xyz
'x,y,z'
'-x,-y,-z'
'-x+1/2,-y+1/2,z'
'x+1/2,y+1/2,-z'
'x+1/2,-y,-z'
'-x+1/2,y,z'
'-x,y+1/2,-z'
'x,-y+1/2,z'
loop_
_atom_site_label
_atom_site_type_symbol
_atom_site_fract_x
_atom_site_fract_y
_atom_site_fract_z
_atom_site_occupancy
Nd1 Nd 0.250 0.006 0.227 1
Al1 Al 0.250 0.750 0.769 1
Si1 Si 0.250 0.250 0.745 1
Pt1 Pt 0.000 0.250 0.981 1
Pt2 Pt 0.002 0.750 0.505 1
Pt3 Pt 0.250 0.001 0.613 1
```

For the uncorrected formation energy, the calculation gives -1.00 eV per atom. As for the electronic total energy: -129.91 eV/cell.